A plane-wave DFT calculation with PBE was carried out for BeSi3Ge after structural relaxation.

Lattice parameters (Å, degrees): 4.708 4.708 4.708 90.00 90.00 90.00
Fractional coordinates of all 5 atoms:
Be 0.500 0.500 0.500
Ge 0.000 0.000 0.000
Si 0.000 0.500 0.000
Si 0.000 0.000 0.500
Si 0.500 0.000 0.000

Calculated values
- uncorrected formation energy (meV per atom) = 1423
- density of states at the Fermi level (states/eV/cell) = 2.406
- uncorrected energy (eV per atom) = -3.499
- total moment (Bohr magnetons per cell) = 0.0
- space-group type = Pm-3m, No. 221
- ρ (kg/m³) = 2641